[1]
DFT (PBE) results for an optimized crystal structure of HoAu.

Output
V, Å³/cell: 46
Space group: No. 187
Formation energy from the elements, eV per atom: -0.641
Total moment, μB/f.u.: 0.003

abc: 3.5501 3.5501 4.2529
angles: 90.00 90.00 120.00
Positions (direct):
Ho: 0.0000 0.0000 0.0000
Au: 0.3333 0.6667 0.5000

=====

[2]
DFT (PBE) results for an optimized crystal structure of HoAu.

Output
V, Å³/cell: 45
Space group: No. 221
Formation energy from the elements, eV per atom: -0.875
Total moment, μB/f.u.: 0.000

abc: 3.5651 3.5651 3.5651
angles: 90.00 90.00 90.00
Positions (direct):
Ho: 0.0000 0.0000 0.0000
Au: 0.5000 0.5000 0.5000

=====

[3]
DFT (PBE) results for an optimized crystal structure of HoAu3.

Output
V, Å³/cell: 158
Space group: No. 59
Formation energy from the elements, eV per atom: -0.728
Total moment, μB/f.u.: 0.001

abc: 5.0214 6.1434 5.1241
angles: 90.00 90.00 90.00
Positions (direct):
Ho: 0.2500 0.2500 0.1560
Ho: 0.7500 0.7500 0.8440
Au: 0.2500 0.5053 0.6619
Au: 0.2500 0.7500 0.1656
Au: 0.2500 0.9947 0.6619
Au: 0.7500 0.0053 0.3381
Au: 0.7500 0.2500 0.8344
Au: 0.7500 0.4947 0.3381

=====

[4]
DFT (PBE) results for an optimized crystal structure of HoAu6.

Output
V, Å³/cell: 1058
Space group: No. 138
Formation energy from the elements, eV per atom: -0.415
Total moment, μB/f.u.: 0.005

abc: 10.3907 10.3907 9.7986
angles: 90.00 90.00 90.00
Positions (direct):
Ho: 0.0738 0.0738 0.2116
Ho: 0.0738 0.4262 0.7116
Ho: 0.4262 0.0738 0.7116
Ho: 0.4262 0.4262 0.2116
Ho: 0.5738 0.5738 0.7884
Ho: 0.5738 0.9262 0.2884
Ho: 0.9262 0.5738 0.2884
Ho: 0.9262 0.9262 0.7884
Au: 0.0000 0.0000 0.5000
Au: 0.0000 0.5000 0.0000
Au: 0.0132 0.6800 0.5783
Au: 0.0132 0.8200 0.0783
Au: 0.1219 0.6984 0.8539
Au: 0.1219 0.8016 0.3539
Au: 0.1495 0.1495 0.6775
Au: 0.1495 0.3505 0.1775
Au: 0.1800 0.5132 0.4217
Au: 0.1800 0.9868 0.9217
Au: 0.1984 0.6219 0.1461
Au: 0.1984 0.8781 0.6461
Au: 0.2500 0.2500 0.4309
Au: 0.2500 0.2500 0.9309
Au: 0.3016 0.6219 0.6461
Au: 0.3016 0.8781 0.1461
Au: 0.3200 0.5132 0.9217
Au: 0.3200 0.9868 0.4217
Au: 0.3505 0.1495 0.1775
Au: 0.3505 0.3505 0.6775
Au: 0.3781 0.6984 0.3539
Au: 0.3781 0.8016 0.8539
Au: 0.4868 0.6800 0.0783
Au: 0.4868 0.8200 0.5783
Au: 0.5000 0.0000 0.0000
Au: 0.5000 0.5000 0.5000
Au: 0.5132 0.1800 0.4217
Au: 0.5132 0.3200 0.9217
Au: 0.6219 0.1984 0.1461
Au: 0.6219 0.3016 0.6461
Au: 0.6495 0.6495 0.3225
Au: 0.6495 0.8505 0.8225
Au: 0.6800 0.0132 0.5783
Au: 0.6800 0.4868 0.0783
Au: 0.6984 0.1219 0.8539
Au: 0.6984 0.3781 0.3539
Au: 0.7500 0.7500 0.0691
Au: 0.7500 0.7500 0.5691
Au: 0.8016 0.1219 0.3539
Au: 0.8016 0.3781 0.8539
Au: 0.8200 0.0132 0.0783
Au: 0.8200 0.4868 0.5783
Au: 0.8505 0.6495 0.8225
Au: 0.8505 0.8505 0.3225
Au: 0.8781 0.1984 0.6461
Au: 0.8781 0.3016 0.1461
Au: 0.9868 0.1800 0.9217
Au: 0.9868 0.3200 0.4217

=====

[5]
DFT (PBE) results for an optimized crystal structure of HoAu.

Output
V, Å³/cell: 264
Space group: No. 216
Formation energy from the elements, eV per atom: -0.266
Total moment, μB/f.u.: 0.000

abc: 6.4186 6.4186 6.4186
angles: 90.00 90.00 90.00
Positions (direct):
Ho: 0.0000 0.0000 0.0000
Ho: 0.0000 0.5000 0.5000
Ho: 0.5000 0.0000 0.5000
Ho: 0.5000 0.5000 0.0000
Au: 0.2500 0.2500 0.2500
Au: 0.2500 0.7500 0.7500
Au: 0.7500 0.2500 0.7500
Au: 0.7500 0.7500 0.2500

=====

[6]
DFT (PBE) results for an optimized crystal structure of HoInAu.

Output
V, Å³/cell: 205
DFT total energy, eV/atom: -4.2700
Space group: No. 189
Total moment, μB/f.u.: 0.000

abc: 7.7286 7.7286 3.9618
angles: 90.00 90.00 120.00
Positions (direct):
Ho: 0.0000 0.5960 0.0000
Ho: 0.4040 0.4040 0.0000
Ho: 0.5960 0.0000 0.0000
In: 0.0000 0.2627 0.5000
In: 0.2627 0.0000 0.5000
In: 0.7373 0.7373 0.5000
Au: 0.0000 0.0000 0.0000
Au: 0.3333 0.6667 0.5000
Au: 0.6667 0.3333 0.5000

=====

[7]
DFT (PBE) results for an optimized crystal structure of Ho5In4Au.

Output
V, Å³/cell: 255
DFT total energy, eV/atom: -4.2470
Space group: No. 123
Total moment, μB/f.u.: 0.008

abc: 3.5621 3.5621 20.1305
angles: 90.00 90.00 90.00
Positions (direct):
Ho: 0.0000 0.0000 0.0000
Ho: 0.0000 0.0000 0.2063
Ho: 0.0000 0.0000 0.4122
Ho: 0.0000 0.0000 0.5878
Ho: 0.0000 0.0000 0.7937
In: 0.5000 0.5000 0.1030
In: 0.5000 0.5000 0.3085
In: 0.5000 0.5000 0.6915
In: 0.5000 0.5000 0.8970
Au: 0.5000 0.5000 0.5000

=====

[8]
DFT (PBE) results for an optimized crystal structure of HoInAu.

Output
V, Å³/cell: 208
DFT total energy, eV/atom: -4.0832
Space group: No. 189
Total moment, μB/f.u.: 0.000

abc: 7.3297 7.3297 4.4737
angles: 90.00 90.00 120.00
Positions (direct):
Ho: 0.0000 0.5680 0.0000
Ho: 0.4320 0.4320 0.0000
Ho: 0.5680 0.0000 0.0000
In: 0.0000 0.0000 0.0000
In: 0.3333 0.6667 0.5000
In: 0.6667 0.3333 0.5000
Au: 0.0000 0.2476 0.5000
Au: 0.2476 0.0000 0.5000
Au: 0.7524 0.7524 0.5000